{"formula": "La2MoRu", "functional": "PBE-GGA", "state": "relaxed", "m_tot_mub_per_cell": 0.005, "n_ef_per_ev_atom": 1.428, "relative_energy_mev_per_atom": 81, "ef_kj_per_mol_fu": 55, "lattice": [[3.2185, 0.0000, 0.0000], [0.0000, 3.2185, 0.0000], [0.0000, 0.0000, 9.2850]], "species": ["La", "La", "Mo", "Ru"], "frac_coords": [[0.0000, 0.0000, 0.0000], [0.5000, 0.5000, 0.3763], [0.0000, 0.0000, 0.6219], [0.5000, 0.5000, 0.7621]]}

{"formula": "CsSrPt", "functional": "PBE-GGA", "state": "relaxed", "m_tot_mub_per_cell": 0.059, "n_ef_per_ev_atom": 1.385, "ef_kj_per_mol_fu": -25, "lattice": [[4.4089, 0.0000, 0.0000], [-2.2044, 3.8182, 0.0000], [0.0000, 0.0000, 16.4607]], "species": ["Cs", "Cs", "Sr", "Sr", "Pt", "Pt"], "frac_coords": [[0.0000, 0.0000, 0.1242], [0.0000, 0.0000, 0.8758], [0.3333, 0.6667, 0.3937], [0.3333, 0.6667, 0.6063], [0.0000, 0.0000, 0.5000], [0.3333, 0.6667, 0.0000]]}

{"formula": "InBrF", "functional": "PBE-GGA", "state": "relaxed", "m_tot_mub_per_cell": 0.000, "n_ef_per_ev_atom": 0.303, "e_form_raw_kj_per_mol_fu": -379.3, "lattice": [[4.1021, 0.0000, 0.0000], [0.0000, 5.4198, 0.0000], [-1.9458, 0.0000, 3.6230]], "species": ["In", "Br", "F"], "frac_coords": [[0.0000, 0.0000, 0.0000], [0.9914, 0.5000, 0.0112], [0.3347, 0.0000, 0.6655]]}

{"formula": "Ca3YOs", "functional": "PBE-GGA", "state": "relaxed", "m_tot_mub_per_cell": 0.000, "n_ef_per_ev_atom": 3.020, "relative_energy_mev_per_atom": 1549, "ef_kj_per_mol_fu": 983, "lattice": [[5.4109, 0.0000, 0.0000], [0.0000, 5.4109, 0.0000], [0.0000, 0.0000, 5.4109]], "species": ["Ca", "Ca", "Ca", "Y", "Os"], "frac_coords": [[0.0000, 0.0000, 0.5000], [0.0000, 0.5000, 0.0000], [0.5000, 0.0000, 0.0000], [0.0000, 0.0000, 0.0000], [0.5000, 0.5000, 0.5000]]}

{"formula": "ZnIBrO2", "functional": "PBE-GGA", "state": "relaxed", "m_tot_mub_per_cell": 0.000, "n_ef_per_ev_atom": 0.410, "relative_energy_mev_per_atom": 232, "e_form_raw_kj_per_mol_fu": 190.0, "lattice": [[3.9436, 0.0000, 0.0000], [0.0000, 3.9436, 0.0000], [0.0000, 0.0000, 7.4960]], "species": ["Zn", "I", "Br", "O", "O"], "frac_coords": [[0.0000, 0.0000, 0.0000], [0.5000, 0.5000, 0.0000], [0.5000, 0.5000, 0.5000], [0.0000, 0.5000, 0.5000], [0.5000, 0.0000, 0.5000]]}

{"formula": "Ta3W", "functional": "PBE-GGA", "state": "relaxed", "m_tot_mub_per_cell": 0.000, "n_ef_per_ev_atom": 0.905, "ef_kj_per_mol_fu": 117, "lattice": [[4.1732, 0.0000, 0.0000], [0.0000, 4.1732, 0.0000], [0.0000, 0.0000, 4.1732]], "species": ["Ta", "Ta", "Ta", "W"], "frac_coords": [[0.0000, 0.0000, 0.5000], [0.0000, 0.5000, 0.0000], [0.5000, 0.0000, 0.0000], [0.5000, 0.5000, 0.5000]]}

{"formula": "BaScZn2", "functional": "PBE-GGA", "state": "relaxed", "m_tot_mub_per_cell": 0.000, "n_ef_per_ev_atom": 0.654, "relative_energy_mev_per_atom": 182, "ef_kj_per_mol_fu": -2, "lattice": [[5.3394, 0.0000, 0.0000], [0.0000, 5.3394, 0.0000], [0.0000, 0.0000, 3.5799]], "species": ["Ba", "Sc", "Zn", "Zn"], "frac_coords": [[0.0000, 0.0000, 0.0000], [0.5000, 0.5000, 0.0000], [0.0000, 0.5000, 0.5000], [0.5000, 0.0000, 0.5000]]}

{"formula": "ThTlSe3", "functional": "PBE-GGA", "state": "relaxed", "m_tot_mub_per_cell": 0.000, "relative_energy_mev_per_atom": 0, "e_form_raw_kj_per_mol_fu": -556.1, "lattice": [[8.9961, -2.1941, 0.0000], [8.9961, 2.1941, 0.0000], [-5.3593, 0.0000, 8.4211]], "species": ["Th", "Th", "Tl", "Tl", "Se", "Se", "Se", "Se", "Se", "Se"], "frac_coords": [[0.1742, 0.1742, 0.2722], [0.8258, 0.8258, 0.7278], [0.3881, 0.3881, 0.1989], [0.6119, 0.6119, 0.8011], [0.0259, 0.0259, 0.9103], [0.2611, 0.2611, 0.8336], [0.3526, 0.3526, 0.5605], [0.6474, 0.6474, 0.4395], [0.7389, 0.7389, 0.1664], [0.9741, 0.9741, 0.0897]]}

Copy entry 1 word for word.
{"formula": "La2MoRu", "functional": "PBE-GGA", "state": "relaxed", "m_tot_mub_per_cell": 0.005, "n_ef_per_ev_atom": 1.428, "relative_energy_mev_per_atom": 81, "ef_kj_per_mol_fu": 55, "lattice": [[3.2185, 0.0000, 0.0000], [0.0000, 3.2185, 0.0000], [0.0000, 0.0000, 9.2850]], "species": ["La", "La", "Mo", "Ru"], "frac_coords": [[0.0000, 0.0000, 0.0000], [0.5000, 0.5000, 0.3763], [0.0000, 0.0000, 0.6219], [0.5000, 0.5000, 0.7621]]}

Please write out number 6 again, unchanged.
{"formula": "Ta3W", "functional": "PBE-GGA", "state": "relaxed", "m_tot_mub_per_cell": 0.000, "n_ef_per_ev_atom": 0.905, "ef_kj_per_mol_fu": 117, "lattice": [[4.1732, 0.0000, 0.0000], [0.0000, 4.1732, 0.0000], [0.0000, 0.0000, 4.1732]], "species": ["Ta", "Ta", "Ta", "W"], "frac_coords": [[0.0000, 0.0000, 0.5000], [0.0000, 0.5000, 0.0000], [0.5000, 0.0000, 0.0000], [0.5000, 0.5000, 0.5000]]}